(1)
The following is a DFT calculation (PBE) of an optimized crystal structure of NaSr2LaCo.

Results
V: 38.3 Å³ per atom
Energy relative to the elements: 0.0796 eV/atom
D(E_F): 4.31 states/eV/cell
VASP energy: -3.2636 eV per atom

Unit cell a=6.1122 b=6.1122 c=5.1315 alpha=90.00 beta=90.00 gamma=90.00
Positions (direct):
Sr: 0.0000 0.5000 0.0000
Sr: 0.5000 0.0000 0.0000
Co: 0.0000 0.0000 0.0000
Na: 0.5000 0.5000 0.5000
La: 0.0000 0.0000 0.5000


(2)
The following is a DFT calculation (PBE) of an optimized crystal structure of Ac3NdSe4.

Results
V: 30.3 Å³ per atom
D(E_F): 8.20 states/eV/cell
Polymorph energy (0 for the lowest one): 0 meV per atom
Energy relative to the elements, uncorrected: -1853 meV/atom
VASP energy: -5.7320 eV per atom

Unit cell a=7.6559 b=7.6738 c=8.7455 alpha=90.00 beta=90.00 gamma=109.27
Positions (direct):
Se: 0.5054 0.7556 0.6300
Se: 0.5000 0.7596 0.1198
Nd: 0.2500 0.0000 0.1237
Se: 0.0000 0.2404 0.1198
Nd: 0.7500 0.0000 0.8763
Ac: 0.7500 0.0000 0.3733
Se: 0.0000 0.7596 0.8802
Se: 0.9946 0.2444 0.6300
Ac: 0.7500 0.5000 0.6263
Ac: 0.2500 0.0000 0.6267
Se: 0.5000 0.2404 0.8802
Se: 0.0054 0.7556 0.3700
Ac: 0.7500 0.5000 0.1242
Ac: 0.2500 0.5000 0.3737
Ac: 0.2500 0.5000 0.8758
Se: 0.4946 0.2444 0.3700